(1)
## La12Sm5Tm2 (PBE)

Data for an optimized crystal structure of La12Sm5Tm2.

abc: 5.864 12.368 12.368
angles: 51.37 75.85 75.85
Atoms (fractional coordinates):
1 La 0.039 0.879 0.879
2 La 0.194 0.527 0.085
3 La 0.194 0.085 0.527
4 La 0.600 0.624 0.212
5 La 0.600 0.212 0.624
6 La 0.126 0.428 0.428
7 La 0.874 0.572 0.572
8 La 0.400 0.376 0.788
9 La 0.400 0.788 0.376
10 La 0.806 0.473 0.915
11 La 0.806 0.915 0.473
12 La 0.961 0.121 0.121
13 Sm 0.381 0.183 0.183
14 Sm 0.727 0.291 0.291
15 Sm 0.500 0.000 0.000
16 Sm 0.273 0.709 0.709
17 Sm 0.619 0.817 0.817
18 Tm 0.000 0.201 0.799
19 Tm 0.000 0.799 0.201

DFT total energy   -4.7140 eV per atom
Formation enthalpy at 0 K   0.111 eV/atom



(2)
## LaSmTm (PBE)

Data for an optimized crystal structure of LaSmTm.

abc: 3.494 5.739 5.739
angles: 120.00 90.00 90.00
Atoms (fractional coordinates):
1 Tm 0.166 0.333 0.667
2 Sm 0.667 0.667 0.333
3 La 0.168 0.000 0.000

DFT total energy   -4.6327 eV per atom
Formation enthalpy at 0 K   0.073 eV/atom



(3)
## La4SmTm10 (PBE)

Data for an optimized crystal structure of La4SmTm10.

abc: 10.678 8.696 8.696
angles: 67.86 52.12 52.12
Atoms (fractional coordinates):
1 La 0.336 0.731 0.596
2 La 0.933 0.404 0.731
3 La 0.067 0.596 0.269
4 La 0.664 0.269 0.404
5 Sm 0.000 0.000 0.000
6 Tm 0.250 0.500 0.500
7 Tm 0.545 0.323 0.905
8 Tm 0.131 0.095 0.323
9 Tm 0.550 0.905 0.677
10 Tm 0.774 0.677 0.095
11 Tm 0.455 0.677 0.095
12 Tm 0.750 0.500 0.500
13 Tm 0.226 0.323 0.905
14 Tm 0.450 0.095 0.323
15 Tm 0.869 0.905 0.677

DFT total energy   -4.2447 eV per atom
Formation enthalpy at 0 K   0.365 eV/atom



(4)
## La4Sm2Tm5 (PBE)

Data for an optimized crystal structure of La4Sm2Tm5.

abc: 3.529 8.701 14.589
angles: 122.65 96.95 90.00
Atoms (fractional coordinates):
1 La 0.591 0.483 0.182
2 La 0.040 0.740 0.080
3 La 0.409 0.517 0.818
4 La 0.960 0.260 0.920
5 Sm 0.726 0.624 0.452
6 Sm 0.274 0.376 0.548
7 Tm 0.189 0.907 0.377
8 Tm 0.811 0.093 0.623
9 Tm 0.132 0.213 0.264
10 Tm 0.500 0.000 0.000
11 Tm 0.868 0.787 0.736

DFT total energy   -4.5553 eV per atom
Formation enthalpy at 0 K   0.127 eV/atom



(5)
## LaSmTm6 (PBE)

Data for an optimized crystal structure of LaSmTm6.

abc: 8.623 8.623 6.610
angles: 49.29 49.29 60.00
Atoms (fractional coordinates):
1 La 0.000 0.000 0.000
2 Sm 0.500 0.500 0.500
3 Tm 0.845 0.845 0.828
4 Tm 0.481 0.845 0.828
5 Tm 0.155 0.519 0.172
6 Tm 0.519 0.155 0.172
7 Tm 0.155 0.155 0.172
8 Tm 0.845 0.481 0.828

DFT total energy   -3.9847 eV per atom
Formation enthalpy at 0 K   0.575 eV/atom



(6)
## La2Sm12Tm (PBE)

Data for an optimized crystal structure of La2Sm12Tm.

abc: 6.564 6.564 25.304
angles: 90.00 90.00 90.16
Atoms (fractional coordinates):
1 La 0.500 0.000 0.265
2 La 0.000 0.500 0.266
3 La 0.000 0.500 0.735
4 La 0.500 0.000 0.734
5 Sm 0.500 0.500 0.786
6 Sm 0.000 0.000 0.786
7 Sm 0.812 0.688 0.888
8 Sm 0.312 0.812 0.887
9 Sm 0.000 0.000 0.338
10 Sm 0.188 0.688 0.113
11 Sm 0.832 0.332 0.562
12 Sm 0.500 0.500 0.338
13 Sm 0.188 0.312 0.888
14 Sm 0.688 0.812 0.112
15 Sm 0.332 0.168 0.561
16 Sm 0.668 0.168 0.438
17 Sm 0.000 0.000 0.662
18 Sm 0.168 0.332 0.439
19 Sm 0.312 0.188 0.112
20 Sm 0.832 0.668 0.439
21 Sm 0.668 0.832 0.561
22 Sm 0.000 0.000 0.214
23 Sm 0.168 0.668 0.562
24 Sm 0.500 0.500 0.662
25 Sm 0.688 0.188 0.887
26 Sm 0.500 0.500 0.214
27 Sm 0.332 0.832 0.438
28 Sm 0.812 0.312 0.113
29 Tm 0.500 0.000 0.000
30 Tm 0.000 0.500 0.000

DFT total energy   -4.4184 eV per atom
Formation enthalpy at 0 K   0.312 eV/atom